{
  "formula": "PmThSbSe",
  "functional": "PBE",
  "state": "relaxed",
  "lattice": [[4.337, 0.000, 0.000], [0.000, 4.337, 0.000], [0.000, 0.000, 6.219]],
  "species": ["Pm", "Th", "Sb", "Se"],
  "fractional_positions": [[0.000, 0.000, 0.000], [0.500, 0.500, 0.501], [0.500, 0.500, 0.001], [0.000, 0.000, 0.500]],
  "m_tot_mub_per_fu": 0.0,
  "sg": "P4mm (99)",
  "e_form_raw_mev_per_atom": -1326,
  "crystal_system": "tetragonal",
  "n_ef_per_ev_cell": 2.8
}